ZrHgP2Br: optimized geometry, PBE-GGA.

As for the formation energy (no corrections): 0.32 eV/atom. The value obtained for the final energy is -3.949 eV per atom. As for the density of states at the Fermi level: 5.5 states/eV per cell.

It has space group P4/mmm (No. 123), with a = 4.997 Å, b = 4.997 Å, c = 6.015 Å, α = 90.00°, β = 90.00° and γ = 90.00°. The asymmetric unit holds Zr at (0.000, 0.000, 0.000), Hg at (0.000, 0.000, 0.500), P at (0.000, 0.500, 0.000) and Br at (0.500, 0.500, 0.500).